# 1
DFT (GGA-PBE) results for Ce2SmHo after structural relaxation.

a = 5.6575 Å, b = 5.6575 Å, c = 5.6575 Å
α = 60.00°, β = 60.00°, γ = 60.00°
Closest atoms and distances in Å follow each position.
Sites, in units of the cell vectors:
Ce (0.2500, 0.2500, 0.2500)  4 Ho 3.46, 4 Sm 3.46
Ce (0.7500, 0.7500, 0.7500)  4 Sm 3.46, 4 Ho 3.46
Sm (0.0000, 0.0000, 0.0000)  8 Ce 3.46
Ho (0.5000, 0.5000, 0.5000)  8 Ce 3.46

## Properties
The calculation puts the total energy at -5.0389 eV per atom. As for the energy relative to the elements: 0.252 eV/atom. The value obtained for the polymorph energy (0 for the lowest one) is 150 meV/atom.

# 2
DFT (GGA-PBE) results for NaSrBe2Te after structural relaxation.

a = 5.0494 Å, b = 5.0494 Å, c = 5.5221 Å
α = 90.00°, β = 90.00°, γ = 90.00°
Closest atoms and distances in Å follow each position.
Sites, in units of the cell vectors:
Na (0.0000, 0.0000, 0.0000)  2 Te 2.76
Sr (0.5000, 0.5000, 0.0000)  4 Na 3.57, 8 Be 3.74
Be (0.0000, 0.5000, 0.5000)  2 Te 2.52
Be (0.5000, 0.0000, 0.5000)  2 Te 2.52
Te (0.0000, 0.0000, 0.5000)  4 Be 2.52, 2 Na 2.76

## Properties
The calculation puts the total energy at -2.0917 eV per atom.

# 3
DFT (GGA-PBE) results for AlBi2N after structural relaxation.

a = 4.9264 Å, b = 4.9264 Å, c = 4.9264 Å
α = 60.00°, β = 60.00°, γ = 60.00°
Closest atoms and distances in Å follow each position.
Sites, in units of the cell vectors:
Al (0.0000, 0.0000, 0.0000)  8 Bi 3.02
Bi (0.2500, 0.2500, 0.2500)  4 N 3.02, 4 Al 3.02
Bi (0.7500, 0.7500, 0.7500)  4 N 3.02, 4 Al 3.02
N (0.5000, 0.5000, 0.5000)  8 Bi 3.02

## Properties
The calculation puts the total energy at -3.8998 eV per atom. The value obtained for the polymorph energy (0 for the lowest one) is 397 meV/atom.

# 4
DFT (GGA-PBE) results for Ir2OsBr after structural relaxation.

a = 2.8073 Å, b = 2.8073 Å, c = 9.6420 Å
α = 90.00°, β = 90.00°, γ = 121.38°
Closest atoms and distances in Å follow each position.
Sites, in units of the cell vectors:
Ir (0.0000, 0.0000, 0.0000)  8 Ir 2.68-2.81, 2 Br 2.92
Ir (0.5000, 0.5000, 0.2386)  2 Os 2.64, 8 Ir 2.68-2.81
Os (0.0000, 0.0000, 0.4721)  2 Ir 2.64, 6 Os 2.75-2.81, 2 Br 2.87
Br (0.5000, 0.5000, 0.7333)  6 Br 2.75-2.81, 2 Os 2.87, 2 Ir 2.92

## Properties
The calculation puts the total energy at -6.7144 eV per atom. The value obtained for the polymorph energy (0 for the lowest one) is 335 meV/atom.

# 5
DFT (GGA-PBE) results for SmCuNi5Ge2 after structural relaxation.

a = 3.8527 Å, b = 3.8527 Å, c = 8.9691 Å
α = 90.00°, β = 90.00°, γ = 90.00°
Closest atoms and distances in Å follow each position.
Sites, in units of the cell vectors:
Sm (0.0000, 0.0000, 0.0000)  12 Ni 2.72-2.79
Cu (0.0000, 0.0000, 0.5000)  8 Ge 2.97, 8 Ni 3.13
Ni (0.0000, 0.5000, 0.2256)  2 Ge 2.31
Ni (0.0000, 0.5000, 0.7744)  2 Ge 2.31
Ni (0.5000, 0.0000, 0.2256)  2 Ge 2.31
Ni (0.5000, 0.0000, 0.7744)  2 Ge 2.31
Ni (0.5000, 0.5000, 0.0000)  4 Sm 2.72, 8 Ni 2.79
Ge (0.5000, 0.5000, 0.3670)  4 Ni 2.31, 1 Ge 2.39
Ge (0.5000, 0.5000, 0.6330)  4 Ni 2.31, 1 Ge 2.39

## Properties
The calculation puts the total energy at -5.2624 eV per atom. As for the energy relative to the elements: -0.045 eV/atom.

# 6
DFT (GGA-PBE) results for CsNaZnAu2 after structural relaxation.

a = 5.2262 Å, b = 5.2262 Å, c = 5.3652 Å
α = 90.00°, β = 90.00°, γ = 90.00°
Closest atoms and distances in Å follow each position.
Sites, in units of the cell vectors:
Cs (0.0000, 0.0000, 0.0000)  4 Na 3.70, 8 Au 3.74
Na (0.5000, 0.5000, 0.0000)  2 Zn 2.68
Zn (0.5000, 0.5000, 0.5000)  4 Au 2.61, 2 Na 2.68
Au (0.0000, 0.5000, 0.5000)  2 Zn 2.61
Au (0.5000, 0.0000, 0.5000)  2 Zn 2.61

## Properties
The calculation puts the total energy at -2.1111 eV per atom. As for the energy relative to the elements: -0.111 eV/atom.

# 7
DFT (GGA-PBE) results for NdMgHgRh after structural relaxation.

a = 4.9811 Å, b = 4.9811 Å, c = 4.9811 Å
α = 60.00°, β = 60.00°, γ = 60.00°
Closest atoms and distances in Å follow each position.
Sites, in units of the cell vectors:
Nd (0.0000, 0.0000, 0.0000)  4 Rh 3.05, 4 Hg 3.05
Mg (0.5000, 0.5000, 0.5000)  4 Rh 3.05, 4 Hg 3.05
Hg (0.2500, 0.2500, 0.2500)  4 Nd 3.05, 4 Mg 3.05
Rh (0.7500, 0.7500, 0.7500)  4 Nd 3.05, 4 Mg 3.05

## Properties
The calculation puts the total energy at -3.9047 eV per atom. As for the energy relative to the elements: -0.401 eV/atom.

# 8
DFT (GGA-PBE) results for NaPm2DySe4 after structural relaxation.

a = 7.2217 Å, b = 4.1449 Å, c = 7.2267 Å
α = 90.00°, β = 109.08°, γ = 90.00°
Closest atoms and distances in Å follow each position.
Sites, in units of the cell vectors:
Na (0.0000, 0.0000, 0.0000)  6 Se 2.91-2.94
Pm (0.0000, 0.5000, 0.5000)  6 Se 2.98-2.99
Pm (0.5000, 0.0000, 0.5000)  6 Se 2.95-2.97
Dy (0.5000, 0.5000, 0.0000)  6 Se 2.90-2.91
Se (0.2526, 0.5000, 0.2454)  1 Dy 2.90, 2 Na 2.94, 3 Pm 2.95-2.98
Se (0.2546, 0.0000, 0.7596)  2 Dy 2.91, 1 Na 2.91, 3 Pm 2.97-2.99
Se (0.7454, 0.0000, 0.2404)  2 Dy 2.91, 1 Na 2.91, 3 Pm 2.97-2.99
Se (0.7474, 0.5000, 0.7546)  1 Dy 2.90, 2 Na 2.94, 3 Pm 2.95-2.98

## Properties
The calculation puts the total energy at -5.4226 eV per atom.